(1)
Density functional theory data (PBE) for crystalline Ac2EuPt at its relaxed geometry.

Calculated values
- excess energy over the best structure of this formula in the dataset (kJ/mol of formula units) = 32
- DOS at the Fermi energy (states/eV per atom) = 1.120
- formation energy from the elements (eV/atom) = -0.49
- symmetry = No. 123

a b c (Å): 3.871 3.871 9.607
angles (deg): 90.00 90.00 90.00
Positions (direct):
1 Eu 0.500 0.500 0.500
2 Ac 0.000 0.000 0.817
3 Ac 0.000 0.000 0.183
4 Pt 0.500 0.500 0.000


(2)
Density functional theory data (PBE) for crystalline Ag2PdPbBr6 at its relaxed geometry.

Calculated values
- E_form (uncorrected) (meV/atom) = -454
- symmetry = No. 1

a b c (Å): 8.906 6.098 8.772
angles (deg): 65.14 52.52 64.62
Positions (direct):
1 Ag 0.422 0.576 0.484
2 Ag 0.936 0.034 0.951
3 Pd 0.347 0.322 0.011
4 Pb 0.853 0.815 0.512
5 Br 0.654 0.202 0.302
6 Br 0.236 0.971 0.298
7 Br 0.010 0.582 0.168
8 Br 0.447 0.684 0.733
9 Br 0.680 0.051 0.855
10 Br 0.076 0.426 0.701


(3)
Density functional theory data (PBE) for crystalline AcPmPrAu at its relaxed geometry.

Calculated values
- DOS at the Fermi energy (states/eV per atom) = 1.933
- formation energy from the elements (eV/atom) = -0.04
- symmetry = No. 216

a b c (Å): 5.574 5.574 5.574
angles (deg): 60.00 60.00 60.00
Positions (direct):
1 Pr 0.750 0.750 0.750
2 Ac 0.500 0.500 0.500
3 Au 0.000 0.000 0.000
4 Pm 0.250 0.250 0.250


Number 1: ρ 9.240 g cm⁻³, volume 144 Å³ per cell, VASP energy -0.2435 hartree per atom. Number 2: ρ 5.031 g cm⁻³, volume 333 Å³ per cell, VASP energy -0.1072 hartree per atom. Number 3: ρ 9.626 g cm⁻³, volume 122 Å³ per cell, VASP energy -0.1568 hartree per atom.